No. 1
An optimized crystal structure of Ti2O3, computed with PBE-GGA.

- Raw formation energy: -271 kJ/mol of atoms

a b c (Å): 5.0955 5.0955 9.7578
angles (deg): 90.00 90.00 120.00
Space group P-31c (No. 163)
Unique sites:
Ti1 0.0000 0.0000 0.0000 [2 per cell]
Ti2 0.3333 0.6667 0.0210 [4 per cell]
Ti3 0.3333 0.6667 0.7500 [2 per cell]
O1 0.0246 0.3475 0.8818 [12 per cell]

***

No. 2
An optimized crystal structure of Ti2O, computed with PBE-GGA.

- Raw formation energy: -148 kJ/mol of atoms

a b c (Å): 9.534 2.867 5.482
angles (deg): 90.00 90.00 90.00
Space group Pnma (No. 62)
Unique sites:
Ti1 0.106 0.250 0.124 [4 per cell]
Ti2 0.121 0.250 0.626 [4 per cell]
O1 0.212 0.750 0.375 [4 per cell]

***

No. 3
An optimized crystal structure of TiO2, computed with PBE-GGA.

- Raw formation energy: -286 kJ/mol of atoms

a b c (Å): 17.814 2.982 10.785
angles (deg): 90.00 90.00 90.00
Space group Pnma (No. 62)
Unique sites:
Ti1 0.076 0.250 0.198 [4 per cell]
Ti2 0.102 0.250 0.725 [4 per cell]
Ti3 0.143 0.750 0.481 [4 per cell]
Ti4 0.175 0.750 0.004 [4 per cell]
O1 0.026 0.750 0.753 [4 per cell]
O2 0.067 0.750 0.088 [4 per cell]
O3 0.083 0.250 0.532 [4 per cell]
O4 0.109 0.750 0.316 [4 per cell]
O5 0.143 0.250 0.888 [4 per cell]
O6 0.162 0.750 0.674 [4 per cell]
O7 0.182 0.250 0.116 [4 per cell]
O8 0.221 0.250 0.464 [4 per cell]

***

No. 4
An optimized crystal structure of TiO, computed with PBE-GGA.

- Raw formation energy: -209 kJ/mol of atoms

a b c (Å): 4.736 9.210 10.919
angles (deg): 90.00 90.00 90.00
Space group Fddd (No. 70, origin choice 2)
Unique sites:
Ti1 0.125 0.294 0.125 [16 per cell]
O1 0.125 0.125 0.005 [16 per cell]

***

No. 5
An optimized crystal structure of Ti3O2, computed with PBE-GGA.

- Raw formation energy: -200 kJ/mol of atoms

a b c (Å): 5.1251 5.1251 14.9395
angles (deg): 90.00 90.00 120.00
Space group R-3c (No. 167, hexagonal axes)
Unique sites:
Ti1 0.0000 0.3300 0.2500 [18 per cell]
O1 0.0000 0.0000 0.1623 [12 per cell]

***

No. 6
An optimized crystal structure of Ti8O13, computed with PBE-GGA.

- Raw formation energy: -282 kJ/mol of atoms

a b c (Å): 7.7887 7.7887 14.0847
angles (deg): 90.00 90.00 120.00
Space group R-3 (No. 148, hexagonal axes)
Unique sites:
Ti1 0.0000 0.0000 0.2228 [6 per cell]
Ti2 0.0247 0.7938 0.4171 [18 per cell]
O1 0.0000 0.0000 0.5000 [3 per cell]
O2 0.0287 0.8156 0.6731 [18 per cell]
O3 0.0801 0.8366 0.1632 [18 per cell]

***

No. 7
An optimized crystal structure of TiO2, computed with PBE-GGA.

- Raw formation energy: -291 kJ/mol of atoms

a b c (Å): 5.181 9.273 5.511
angles (deg): 90.00 90.00 90.00
Space group Pbca (No. 61)
Unique sites:
Ti1 0.138 0.129 0.093 [8 per cell]
O1 0.036 0.730 0.108 [8 per cell]
O2 0.183 0.510 0.352 [8 per cell]

***

No. 8
An optimized crystal structure of Ti4O7, computed with PBE-GGA.

- Raw formation energy: -286 kJ/mol of atoms

a b c (Å): 5.636 6.954 7.181
angles (deg): 64.21 71.10 75.10
Space group P-1 (No. 2)
Unique sites:
Ti1 0.184 0.096 0.264 [2 per cell]
Ti2 0.187 0.096 0.761 [2 per cell]
Ti3 0.283 0.623 0.592 [2 per cell]
Ti4 0.285 0.633 0.084 [2 per cell]
O1 0.026 0.173 0.519 [2 per cell]
O2 0.085 0.385 0.764 [2 per cell]
O3 0.172 0.778 0.798 [2 per cell]
O4 0.205 0.947 0.067 [2 per cell]
O5 0.355 0.336 0.088 [2 per cell]
O6 0.392 0.534 0.346 [2 per cell]
O7 0.465 0.896 0.371 [2 per cell]

***

No. 9
An optimized crystal structure of TiO, computed with PBE-GGA.

- Raw formation energy: -214 kJ/mol of atoms

a b c (Å): 5.609 6.020 6.027
angles (deg): 90.00 90.00 90.00
Space group P2_12_12_1 (No. 19)
Unique sites:
Ti1 0.082 0.114 0.411 [4 per cell]
Ti2 0.113 0.656 0.636 [4 per cell]
O1 0.036 0.298 0.132 [4 per cell]
O2 0.145 0.000 0.715 [4 per cell]

***

No. 10
An optimized crystal structure of TiO2, computed with PBE-GGA.

- Raw formation energy: -290 kJ/mol of atoms

a b c (Å): 4.584 5.580 4.936
angles (deg): 90.00 90.00 90.00
Space group Pbcn (No. 60)
Unique sites:
Ti1 0.000 0.177 0.250 [4 per cell]
O1 0.229 0.119 0.581 [8 per cell]

***

No. 11
An optimized crystal structure of Ti3O, computed with PBE-GGA.

- Raw formation energy: -100 kJ/mol of atoms

a b c (Å): 2.762 2.767 7.336
angles (deg): 90.00 90.00 90.00
Space group Pmm2 (No. 25)
Unique sites:
Ti1 0.000 0.000 0.000 [1 per cell]
Ti2 0.000 0.500 0.355 [1 per cell]
Ti3 0.500 0.500 0.715 [1 per cell]
O1 0.500 0.000 0.231 [1 per cell]

***

No. 12
An optimized crystal structure of TiO2, computed with PBE-GGA.

- Raw formation energy: -287 kJ/mol of atoms

a b c (Å): 14.267 2.982 4.783
angles (deg): 90.00 91.55 90.00
Space group C2/m (No. 12)
Unique sites:
Ti1 0.000 0.000 0.000 [2 per cell]
Ti2 0.158 0.500 0.516 [4 per cell]
O1 0.064 0.500 0.815 [4 per cell]
O2 0.098 0.000 0.307 [4 per cell]
O3 0.225 0.000 0.699 [4 per cell]

***

No. 13
An optimized crystal structure of Ti9O10, computed with PBE-GGA.

- Raw formation energy: -232 kJ/mol of atoms

a b c (Å): 5.021 8.980 9.882
angles (deg): 90.00 101.43 90.00
Space group C2/m (No. 12)
Unique sites:
Ti1 0.000 0.000 0.000 [2 per cell]
Ti2 0.000 0.166 0.500 [4 per cell]
Ti3 0.000 0.353 0.000 [4 per cell]
Ti4 0.229 0.333 0.741 [8 per cell]
O1 0.110 0.500 0.862 [4 per cell]
O2 0.115 0.174 0.880 [8 per cell]
O3 0.131 0.332 0.377 [8 per cell]

***

No. 14
An optimized crystal structure of TiO, computed with PBE-GGA.

- Raw formation energy: -209 kJ/mol of atoms

a b c (Å): 4.643 4.643 4.643
angles (deg): 90.00 90.00 90.00
Space group F-43m (No. 216)
Unique sites:
Ti1 0.000 0.000 0.000 [4 per cell]
O1 0.250 0.250 0.250 [4 per cell]

***

No. 15
An optimized crystal structure of TiO2, computed with PBE-GGA.

- Raw formation energy: -289 kJ/mol of atoms

a b c (Å): 8.813 8.813 3.778
angles (deg): 90.00 90.00 90.00
Space group I4/m (No. 87)
Unique sites:
Ti1 0.011 0.290 0.000 [8 per cell]
O1 0.007 0.652 0.500 [8 per cell]
O2 0.156 0.838 0.000 [8 per cell]

***

No. 16
An optimized crystal structure of TiO2, computed with PBE-GGA.

- Raw formation energy: -292 kJ/mol of atoms

a b c (Å): 3.807 3.807 9.711
angles (deg): 90.00 90.00 90.00
Space group I4_1/amd (No. 141, origin choice 2)
Unique sites:
Ti1 0.000 0.250 0.375 [4 per cell]
O1 0.000 0.250 0.168 [8 per cell]

***

No. 17
An optimized crystal structure of Ti3O, computed with PBE-GGA.

- Raw formation energy: -124 kJ/mol of atoms

a b c (Å): 5.1286 5.1286 4.9090
angles (deg): 90.00 90.00 120.00
Space group P6_3/mcm (No. 193)
Unique sites:
Ti1 0.0000 0.3299 0.2500 [6 per cell]
O1 0.0000 0.0000 0.0000 [2 per cell]

***

no.,N(E_F) (states/eV per atom)
1,0.645
2,0.345
3,0.000
4,0.429
5,0.434
6,0.039
7,0.000
8,0.481
9,0.535
10,0.000
11,1.235
12,0.000
13,0.531
14,0.966
15,0.000
16,0.000
17,0.629